Below is a relaxed structure of Y2Ho7Tm3, with properties calculated at the GGA-PBE level.

Computed properties:
Energy ... -4.75 eV per atom
Energy above the lowest structure with this stoichiometry ... 0.0394 eV per atom
D(E_F) ... 36.2 states/eV/cell
Energy relative to the elements ... 11.5 kJ per mole of atoms
V ... 31.32 Å³/atom

Structure (CIF):
```
data_Y2Ho7Tm3
_space_group_name_H-M_alt 'C m m m'
_space_group_IT_number 65
_space_group_name_Hall '-C 2 2'
_cell_length_a 5.638
_cell_length_b 37.369
_cell_length_c 3.567
_cell_angle_alpha 90.00
_cell_angle_beta 90.00
_cell_angle_gamma 90.00
loop_
_atom_site_label
_atom_site_fract_x
_atom_site_fract_y
_atom_site_fract_z
Y1 0.000 0.148 0.000
Ho1 0.000 0.000 0.000
Ho2 0.000 0.071 0.500
Ho3 0.000 0.231 0.000
Ho4 0.000 0.408 0.000
Tm1 0.000 0.314 0.500
Tm2 0.000 0.500 0.500
```